(one)
# In3GaPb PBE relaxed
# Fermi-level density of states: 0.8450 states/eV/atom
data_In3GaPb
_chemical_formula_sum 'In3 Ga1 Pb1'
_symmetry_space_group_name_H-M 'P m -3 m'
_symmetry_Int_Tables_number 221
_symmetry_space_group_name_Hall '-P 4 2 3'
_cell_length_a 5.883
_cell_length_b 5.883
_cell_length_c 5.883
_cell_angle_alpha 90.00
_cell_angle_beta 90.00
_cell_angle_gamma 90.00
loop_
_atom_site_label
_atom_site_type_symbol
_atom_site_fract_x
_atom_site_fract_y
_atom_site_fract_z
In1 In 0.000 0.000 0.500
Ga1 Ga 0.500 0.500 0.500
Pb1 Pb 0.000 0.000 0.000

(two)
# In3GaPb PBE relaxed
# Fermi-level density of states: 0.3091 states/eV/atom
data_In3GaPb
_chemical_formula_sum 'In6 Ga2 Pb2'
_symmetry_space_group_name_H-M 'P 1 21/m 1'
_symmetry_Int_Tables_number 11
_cell_length_a 8.850
_cell_length_b 3.448
_cell_length_c 9.139
_cell_angle_alpha 90.00
_cell_angle_beta 106.72
_cell_angle_gamma 90.00
loop_
_symmetry_equiv_pos_as_xyz
'x,y,z'
'-x,-y,-z'
'-x,y+1/2,-z'
'x,-y+1/2,z'
loop_
_atom_site_label
_atom_site_type_symbol
_atom_site_fract_x
_atom_site_fract_y
_atom_site_fract_z
In1 In 0.142 0.250 0.121
In2 In 0.197 0.750 0.522
In3 In 0.346 0.750 0.915
Ga1 Ga 0.073 0.250 0.746
Pb1 Pb 0.465 0.750 0.320

Most stable pick: (two). Distance to second place: 588 meV per atom.

(one)
# In4Ga4Pb PBE relaxed
# Fermi-level density of states: 0.3569 states/eV/atom
data_In4Ga4Pb
_chemical_formula_sum 'In8 Ga8 Pb2'
_symmetry_space_group_name_H-M 'P 42/n m c'
_symmetry_Int_Tables_number 137
_cell_length_a 6.478
_cell_length_b 6.478
_cell_length_c 10.587
_cell_angle_alpha 90.00
_cell_angle_beta 90.00
_cell_angle_gamma 90.00
loop_
_symmetry_equiv_pos_as_xyz
'x,y,z'
'-x,-y,-z'
'-y+1/2,x,z+1/2'
'y+1/2,-x,-z+1/2'
'-x+1/2,-y+1/2,z'
'x+1/2,y+1/2,-z'
'y,-x+1/2,z+1/2'
'-y,x+1/2,-z+1/2'
'x+1/2,-y,-z'
'-x+1/2,y,z'
'-y,-x,-z+1/2'
'y,x,z+1/2'
'-x,y+1/2,-z'
'x,-y+1/2,z'
'y+1/2,x+1/2,-z+1/2'
'-y+1/2,-x+1/2,z+1/2'
loop_
_atom_site_label
_atom_site_type_symbol
_atom_site_fract_x
_atom_site_fract_y
_atom_site_fract_z
In1 In 0.004 0.250 0.022
Ga1 Ga 0.043 0.250 0.296
Pb1 Pb 0.250 0.750 0.250

(two)
# In4Ga4Pb PBE relaxed
# Fermi-level density of states: 0.4255 states/eV/atom
data_In4Ga4Pb
_chemical_formula_sum 'In8 Ga8 Pb2'
_symmetry_space_group_name_H-M 'I 4/m m m'
_symmetry_Int_Tables_number 139
_symmetry_space_group_name_Hall '-I 4 2'
_cell_length_a 9.293
_cell_length_b 9.293
_cell_length_c 5.052
_cell_angle_alpha 90.00
_cell_angle_beta 90.00
_cell_angle_gamma 90.00
loop_
_atom_site_label
_atom_site_type_symbol
_atom_site_fract_x
_atom_site_fract_y
_atom_site_fract_z
In1 In 0.174 0.174 0.000
Ga1 Ga 0.000 0.350 0.500
Pb1 Pb 0.000 0.000 0.500

Most stable pick: (two). Distance to second place: 20 meV per atom.

(one)
# In2GaPb2 PBE relaxed
# Fermi-level density of states: 0.5477 states/eV/atom
data_In2GaPb2
_chemical_formula_sum 'In4 Ga2 Pb4'
_symmetry_space_group_name_H-M 'P 4/m b m'
_symmetry_Int_Tables_number 127
_symmetry_space_group_name_Hall '-P 4 2ab'
_cell_length_a 8.702
_cell_length_b 8.702
_cell_length_c 3.931
_cell_angle_alpha 90.00
_cell_angle_beta 90.00
_cell_angle_gamma 90.00
loop_
_atom_site_label
_atom_site_type_symbol
_atom_site_fract_x
_atom_site_fract_y
_atom_site_fract_z
In1 In 0.152 0.348 0.000
Ga1 Ga 0.000 0.000 0.500
Pb1 Pb 0.147 0.647 0.500

(two)
# In2GaPb2 PBE relaxed
# Fermi-level density of states: 0.4588 states/eV/atom
data_In2GaPb2
_chemical_formula_sum 'In8 Ga4 Pb8'
_symmetry_space_group_name_H-M 'I b a m'
_symmetry_Int_Tables_number 72
_symmetry_space_group_name_Hall '-I 2 2c'
_cell_length_a 6.187
_cell_length_b 14.907
_cell_length_c 5.963
_cell_angle_alpha 90.00
_cell_angle_beta 90.00
_cell_angle_gamma 90.00
loop_
_atom_site_label
_atom_site_type_symbol
_atom_site_fract_x
_atom_site_fract_y
_atom_site_fract_z
In1 In 0.142 0.087 0.000
Ga1 Ga 0.000 0.500 0.250
Pb1 Pb 0.163 0.309 0.000

Most stable pick: (two). Distance to second place: 132 meV per atom.

(one)
# In2GaPb2 PBE relaxed
# Fermi-level density of states: 0.5903 states/eV/atom
data_In2GaPb2
_chemical_formula_sum 'In4 Ga2 Pb4'
_symmetry_space_group_name_H-M 'I 4/m m m'
_symmetry_Int_Tables_number 139
_symmetry_space_group_name_Hall '-I 4 2'
_cell_length_a 4.240
_cell_length_b 4.240
_cell_length_c 16.611
_cell_angle_alpha 90.00
_cell_angle_beta 90.00
_cell_angle_gamma 90.00
loop_
_atom_site_label
_atom_site_type_symbol
_atom_site_fract_x
_atom_site_fract_y
_atom_site_fract_z
In1 In 0.000 0.500 0.250
Ga1 Ga 0.000 0.000 0.000
Pb1 Pb 0.000 0.000 0.401

(two)
# In2GaPb2 PBE relaxed
# Fermi-level density of states: 0.4846 states/eV/atom
data_In2GaPb2
_chemical_formula_sum 'In4 Ga2 Pb4'
_symmetry_space_group_name_H-M 'P 4/m b m'
_symmetry_Int_Tables_number 127
_symmetry_space_group_name_Hall '-P 4 2ab'
_cell_length_a 9.037
_cell_length_b 9.037
_cell_length_c 3.633
_cell_angle_alpha 90.00
_cell_angle_beta 90.00
_cell_angle_gamma 90.00
loop_
_atom_site_label
_atom_site_type_symbol
_atom_site_fract_x
_atom_site_fract_y
_atom_site_fract_z
In1 In 0.135 0.365 0.000
Ga1 Ga 0.000 0.000 0.000
Pb1 Pb 0.163 0.663 0.500

Most stable pick: (two). Distance to second place: 18 meV per atom.

(one)
# InGa3Pb PBE relaxed
# Fermi-level density of states: 0.3393 states/eV/atom
data_InGa3Pb
_chemical_formula_sum 'In4 Ga12 Pb4'
_symmetry_space_group_name_H-M 'C 1 2/m 1'
_symmetry_Int_Tables_number 12
_cell_length_a 10.332
_cell_length_b 5.987
_cell_length_c 8.487
_cell_angle_alpha 90.00
_cell_angle_beta 116.85
_cell_angle_gamma 90.00
loop_
_symmetry_equiv_pos_as_xyz
'x,y,z'
'-x,-y,-z'
'-x,y,-z'
'x,-y,z'
'x+1/2,y+1/2,z'
'-x+1/2,-y+1/2,-z'
'-x+1/2,y+1/2,-z'
'x+1/2,-y+1/2,z'
loop_
_atom_site_label
_atom_site_type_symbol
_atom_site_fract_x
_atom_site_fract_y
_atom_site_fract_z
In1 In 0.160 0.000 0.485
Ga1 Ga 0.132 0.000 0.867
Ga2 Ga 0.133 0.259 0.148
Pb1 Pb 0.071 0.500 0.716

(two)
# InGa3Pb PBE relaxed
# Fermi-level density of states: 0.4805 states/eV/atom
data_InGa3Pb
_chemical_formula_sum 'In4 Ga12 Pb4'
_symmetry_space_group_name_H-M 'C m c m'
_symmetry_Int_Tables_number 63
_symmetry_space_group_name_Hall '-C 2c 2'
_cell_length_a 5.465
_cell_length_b 16.757
_cell_length_c 5.318
_cell_angle_alpha 90.00
_cell_angle_beta 90.00
_cell_angle_gamma 90.00
loop_
_atom_site_label
_atom_site_type_symbol
_atom_site_fract_x
_atom_site_fract_y
_atom_site_fract_z
In1 In 0.000 0.067 0.250
Ga1 Ga 0.000 0.500 0.000
Ga2 Ga 0.248 0.134 0.750
Pb1 Pb 0.000 0.303 0.750

Most stable pick: (one). Distance to second place: 39 meV per atom.

(one)
# In5Ga4Pb2 PBE relaxed
# Fermi-level density of states: 0.3551 states/eV/atom
data_In5Ga4Pb2
_chemical_formula_sum 'In5 Ga4 Pb2'
_symmetry_space_group_name_H-M 'P -1'
_symmetry_Int_Tables_number 2
_cell_length_a 6.303
_cell_length_b 6.755
_cell_length_c 7.816
_cell_angle_alpha 105.01
_cell_angle_beta 90.33
_cell_angle_gamma 117.69
loop_
_symmetry_equiv_pos_as_xyz
'x,y,z'
'-x,-y,-z'
loop_
_atom_site_label
_atom_site_type_symbol
_atom_site_fract_x
_atom_site_fract_y
_atom_site_fract_z
In1 In 0.000 0.000 0.000
In2 In 0.171 0.798 0.605
In3 In 0.327 0.205 0.429
Ga1 Ga 0.257 0.527 0.254
Ga2 Ga 0.391 0.897 0.121
Pb1 Pb 0.223 0.431 0.830

(two)
# In5Ga4Pb2 PBE relaxed
# Fermi-level density of states: 0.4338 states/eV/atom
data_In5Ga4Pb2
_chemical_formula_sum 'In10 Ga8 Pb4'
_symmetry_space_group_name_H-M 'C 1 2/m 1'
_symmetry_Int_Tables_number 12
_cell_length_a 11.174
_cell_length_b 6.235
_cell_length_c 8.967
_cell_angle_alpha 90.00
_cell_angle_beta 115.25
_cell_angle_gamma 90.00
loop_
_symmetry_equiv_pos_as_xyz
'x,y,z'
'-x,-y,-z'
'-x,y,-z'
'x,-y,z'
'x+1/2,y+1/2,z'
'-x+1/2,-y+1/2,-z'
'-x+1/2,y+1/2,-z'
'x+1/2,-y+1/2,z'
loop_
_atom_site_label
_atom_site_type_symbol
_atom_site_fract_x
_atom_site_fract_y
_atom_site_fract_z
In1 In 0.000 0.000 0.000
In2 In 0.155 0.256 0.658
Ga1 Ga 0.102 0.000 0.355
Ga2 Ga 0.249 0.500 0.020
Pb1 Pb 0.055 0.500 0.207

Most stable pick: (one). Distance to second place: 14 meV per atom.

(one)
# In2GaPb8 PBE relaxed
# Fermi-level density of states: 0.3610 states/eV/atom
data_In2GaPb8
_chemical_formula_sum 'In4 Ga2 Pb16'
_symmetry_space_group_name_H-M 'C 1 2/m 1'
_symmetry_Int_Tables_number 12
_cell_length_a 14.112
_cell_length_b 8.753
_cell_length_c 5.918
_cell_angle_alpha 90.00
_cell_angle_beta 104.56
_cell_angle_gamma 90.00
loop_
_symmetry_equiv_pos_as_xyz
'x,y,z'
'-x,-y,-z'
'-x,y,-z'
'x,-y,z'
'x+1/2,y+1/2,z'
'-x+1/2,-y+1/2,-z'
'-x+1/2,y+1/2,-z'
'x+1/2,-y+1/2,z'
loop_
_atom_site_label
_atom_site_type_symbol
_atom_site_fract_x
_atom_site_fract_y
_atom_site_fract_z
In1 In 0.116 0.000 0.477
Ga1 Ga 0.000 0.000 0.000
Pb1 Pb 0.069 0.292 0.793
Pb2 Pb 0.140 0.500 0.359
Pb3 Pb 0.227 0.000 0.042

(two)
# In2GaPb8 PBE relaxed
# Fermi-level density of states: 0.5145 states/eV/atom
data_In2GaPb8
_chemical_formula_sum 'In4 Ga2 Pb16'
_symmetry_space_group_name_H-M 'C 1 2/m 1'
_symmetry_Int_Tables_number 12
_cell_length_a 18.156
_cell_length_b 4.739
_cell_length_c 7.933
_cell_angle_alpha 90.00
_cell_angle_beta 105.16
_cell_angle_gamma 90.00
loop_
_symmetry_equiv_pos_as_xyz
'x,y,z'
'-x,-y,-z'
'-x,y,-z'
'x,-y,z'
'x+1/2,y+1/2,z'
'-x+1/2,-y+1/2,-z'
'-x+1/2,y+1/2,-z'
'x+1/2,-y+1/2,z'
loop_
_atom_site_label
_atom_site_type_symbol
_atom_site_fract_x
_atom_site_fract_y
_atom_site_fract_z
In1 In 0.229 0.000 0.132
Ga1 Ga 0.000 0.500 0.500
Pb1 Pb 0.042 0.000 0.237
Pb2 Pb 0.092 0.500 0.957
Pb3 Pb 0.134 0.000 0.677
Pb4 Pb 0.181 0.500 0.404

Most stable pick: (two). Distance to second place: 71 meV per atom.

(one)
# In3Ga3Pb PBE relaxed
# Fermi-level density of states: 1.1504 states/eV/atom
data_In3Ga3Pb
_chemical_formula_sum 'In6 Ga6 Pb2'
_symmetry_space_group_name_H-M 'P m -3 n'
_symmetry_Int_Tables_number 223
_symmetry_space_group_name_Hall '-P 4n 2 3'
_cell_length_a 7.647
_cell_length_b 7.647
_cell_length_c 7.647
_cell_angle_alpha 90.00
_cell_angle_beta 90.00
_cell_angle_gamma 90.00
loop_
_atom_site_label
_atom_site_type_symbol
_atom_site_fract_x
_atom_site_fract_y
_atom_site_fract_z
In1 In 0.000 0.250 0.500
Ga1 Ga 0.000 0.500 0.250
Pb1 Pb 0.000 0.000 0.000

(two)
# In3Ga3Pb PBE relaxed
# Fermi-level density of states: 0.5006 states/eV/atom
data_In3Ga3Pb
_chemical_formula_sum 'In18 Ga18 Pb6'
_symmetry_space_group_name_H-M 'R -3'
_symmetry_Int_Tables_number 148
_symmetry_space_group_name_Hall '-R 3'
_cell_length_a 8.9471
_cell_length_b 8.9471
_cell_length_c 15.2432
_cell_angle_alpha 90.00
_cell_angle_beta 90.00
_cell_angle_gamma 120.00
loop_
_atom_site_label
_atom_site_type_symbol
_atom_site_fract_x
_atom_site_fract_y
_atom_site_fract_z
In1 In 0.0769 0.2432 0.1936
Ga1 Ga 0.0196 0.6033 0.6486
Pb1 Pb 0.0000 0.0000 0.3931

Most stable pick: (two). Distance to second place: 362 meV per atom.

(one)
# InGaPb3 PBE relaxed
# Fermi-level density of states: 0.7324 states/eV/atom
data_InGaPb3
_chemical_formula_sum 'In1 Ga1 Pb3'
_symmetry_space_group_name_H-M 'P m -3 m'
_symmetry_Int_Tables_number 221
_symmetry_space_group_name_Hall '-P 4 2 3'
_cell_length_a 5.814
_cell_length_b 5.814
_cell_length_c 5.814
_cell_angle_alpha 90.00
_cell_angle_beta 90.00
_cell_angle_gamma 90.00
loop_
_atom_site_label
_atom_site_type_symbol
_atom_site_fract_x
_atom_site_fract_y
_atom_site_fract_z
In1 In 0.000 0.000 0.000
Ga1 Ga 0.500 0.500 0.500
Pb1 Pb 0.000 0.000 0.500

(two)
# InGaPb3 PBE relaxed
# Fermi-level density of states: 0.4848 states/eV/atom
data_InGaPb3
_chemical_formula_sum 'In2 Ga2 Pb6'
_symmetry_space_group_name_H-M 'P -1'
_symmetry_Int_Tables_number 2
_cell_length_a 6.084
_cell_length_b 6.094
_cell_length_c 8.612
_cell_angle_alpha 74.60
_cell_angle_beta 77.06
_cell_angle_gamma 70.21
loop_
_symmetry_equiv_pos_as_xyz
'x,y,z'
'-x,-y,-z'
loop_
_atom_site_label
_atom_site_type_symbol
_atom_site_fract_x
_atom_site_fract_y
_atom_site_fract_z
In1 In 0.196 0.391 0.331
Ga1 Ga 0.225 0.173 0.713
Pb1 Pb 0.234 0.980 0.099
Pb2 Pb 0.271 0.547 0.901
Pb3 Pb 0.297 0.798 0.502

(three)
# InGaPb3 PBE relaxed
# Fermi-level density of states: 0.6642 states/eV/atom
data_InGaPb3
_chemical_formula_sum 'In1 Ga1 Pb3'
_symmetry_space_group_name_H-M 'P m -3 m'
_symmetry_Int_Tables_number 221
_symmetry_space_group_name_Hall '-P 4 2 3'
_cell_length_a 5.556
_cell_length_b 5.556
_cell_length_c 5.556
_cell_angle_alpha 90.00
_cell_angle_beta 90.00
_cell_angle_gamma 90.00
loop_
_atom_site_label
_atom_site_type_symbol
_atom_site_fract_x
_atom_site_fract_y
_atom_site_fract_z
In1 In 0.000 0.000 0.000
Ga1 Ga 0.500 0.500 0.500
Pb1 Pb 0.000 0.500 0.500

Most stable pick: (two). Distance to second place: 289 meV per atom.

(one)
# InGa4Pb PBE relaxed
# Fermi-level density of states: 0.2814 states/eV/atom
data_InGa4Pb
_chemical_formula_sum 'In2 Ga8 Pb2'
_symmetry_space_group_name_H-M 'I m m 2'
_symmetry_Int_Tables_number 44
_cell_length_a 4.387
_cell_length_b 7.622
_cell_length_c 8.145
_cell_angle_alpha 90.00
_cell_angle_beta 90.00
_cell_angle_gamma 90.00
loop_
_symmetry_equiv_pos_as_xyz
'x,y,z'
'-x,-y,z'
'-x,y,z'
'x,-y,z'
'x+1/2,y+1/2,z+1/2'
'-x+1/2,-y+1/2,z+1/2'
'-x+1/2,y+1/2,z+1/2'
'x+1/2,-y+1/2,z+1/2'
loop_
_atom_site_label
_atom_site_type_symbol
_atom_site_fract_x
_atom_site_fract_y
_atom_site_fract_z
In1 In 0.000 0.000 0.000
Ga1 Ga 0.000 0.183 0.422
Ga2 Ga 0.000 0.321 0.729
Pb1 Pb 0.000 0.500 0.155

(two)
# InGa4Pb PBE relaxed
# Fermi-level density of states: 0.3666 states/eV/atom
data_InGa4Pb
_chemical_formula_sum 'In4 Ga16 Pb4'
_symmetry_space_group_name_H-M 'F -4 3 m'
_symmetry_Int_Tables_number 216
_symmetry_space_group_name_Hall 'F -4 2 3'
_cell_length_a 8.161
_cell_length_b 8.161
_cell_length_c 8.161
_cell_angle_alpha 90.00
_cell_angle_beta 90.00
_cell_angle_gamma 90.00
loop_
_atom_site_label
_atom_site_type_symbol
_atom_site_fract_x
_atom_site_fract_y
_atom_site_fract_z
In1 In 0.000 0.000 0.000
Ga1 Ga 0.125 0.125 0.625
Pb1 Pb 0.250 0.250 0.250

Most stable pick: (one). Distance to second place: 34 meV per atom.

(one)
# In4GaPb2 PBE relaxed
# Fermi-level density of states: 0.6198 states/eV/atom
data_In4GaPb2
_chemical_formula_sum 'In8 Ga2 Pb4'
_symmetry_space_group_name_H-M 'I 4/m m m'
_symmetry_Int_Tables_number 139
_symmetry_space_group_name_Hall '-I 4 2'
_cell_length_a 5.438
_cell_length_b 5.438
_cell_length_c 15.443
_cell_angle_alpha 90.00
_cell_angle_beta 90.00
_cell_angle_gamma 90.00
loop_
_atom_site_label
_atom_site_type_symbol
_atom_site_fract_x
_atom_site_fract_y
_atom_site_fract_z
In1 In 0.000 0.000 0.180
In2 In 0.000 0.500 0.000
Ga1 Ga 0.000 0.000 0.000
Pb1 Pb 0.000 0.000 0.378

(two)
# In4GaPb2 PBE relaxed
# Fermi-level density of states: 0.4492 states/eV/atom
data_In4GaPb2
_chemical_formula_sum 'In12 Ga3 Pb6'
_symmetry_space_group_name_H-M 'R -3 m'
_symmetry_Int_Tables_number 166
_symmetry_space_group_name_Hall '-R 3 2"'
_cell_length_a 3.4294
_cell_length_b 3.4294
_cell_length_c 56.9914
_cell_angle_alpha 90.00
_cell_angle_beta 90.00
_cell_angle_gamma 120.00
loop_
_atom_site_label
_atom_site_type_symbol
_atom_site_fract_x
_atom_site_fract_y
_atom_site_fract_z
In1 In 0.0000 0.0000 0.1425
In2 In 0.0000 0.0000 0.2921
Ga1 Ga 0.0000 0.0000 0.0000
Pb1 Pb 0.0000 0.0000 0.4248

Most stable pick: (two). Distance to second place: 191 meV per atom.